# 1
Below is a geometry-optimized Tm2PuCd structure, with properties calculated at the GGA-PBE level.

Cell: 3.4372 3.4372 9.1239 Å, 90.00 90.00 90.00°
Last column: nearest neighbours and their distance in Å.
Atoms (fractional coordinates):
1 Tm 0.0000 0.0000 0.2334  4 Cd 3.23, 4 Tm 3.44, 4 Pu 3.44
2 Tm 0.0000 0.0000 0.7666  4 Cd 3.23, 4 Tm 3.44, 4 Pu 3.44
3 Pu 0.5000 0.5000 0.5000  4 Pu 3.44, 8 Tm 3.44
4 Cd 0.5000 0.5000 0.0000  8 Tm 3.23, 4 Cd 3.44

Results
For the energy of formation from the pure elements, the calculation gives -0.3 eV/f.u. The calculation puts the volume at 26.95 Å³ per atom. As for the density of states at the Fermi level: 9.48 states/eV/f.u. Its total energy is -24.456 eV per cell. Its relative energy among the computed polymorphs is 0 meV/atom.



# 2
Below is a geometry-optimized Cs2YMoBr6 structure, with properties calculated at the GGA-PBE level.

Cell: 7.7522 7.7522 7.7522 Å, 60.00 60.00 60.00°
Last column: nearest neighbours and their distance in Å.
Atoms (fractional coordinates):
1 Cs 0.2500 0.2500 0.2500  12 Br 3.88
2 Cs 0.7500 0.7500 0.7500  12 Br 3.88
3 Y 0.0000 0.0000 0.0000  6 Br 2.82
4 Mo 0.5000 0.5000 0.5000  6 Br 2.66
5 Br 0.2570 0.2570 0.7430  1 Mo 2.66, 1 Y 2.82
6 Br 0.2570 0.7430 0.2570  1 Mo 2.66, 1 Y 2.82
7 Br 0.2570 0.7430 0.7430  1 Mo 2.66, 1 Y 2.82
8 Br 0.7430 0.2570 0.2570  1 Mo 2.66, 1 Y 2.82
9 Br 0.7430 0.2570 0.7430  1 Mo 2.66, 1 Y 2.82
10 Br 0.7430 0.7430 0.2570  1 Mo 2.66, 1 Y 2.82

Results
The calculation puts the volume at 32.94 Å³ per atom. As for the density of states at the Fermi level: 5.65 states/eV/f.u. Its total energy is -40.749 eV per cell. The raw formation energy comes out at -1171 meV per atom.



# 3
Below is a geometry-optimized Al2AgTe structure, with properties calculated at the GGA-PBE level.

Cell: 6.0962 6.0962 6.0962 Å, 141.18 141.18 56.07°
Last column: nearest neighbours and their distance in Å.
Atoms (fractional coordinates):
1 Al 0.2500 0.7500 0.5000  4 Al 2.87
2 Al 0.7500 0.2500 0.5000  4 Al 2.87
3 Ag 0.0000 0.0000 0.0000  4 Te 2.87
4 Te 0.5000 0.5000 0.0000  4 Ag 2.87

Results
The calculation puts the volume at 22.09 Å³ per atom. As for the density of states at the Fermi level: 1.10 states/eV/f.u. Its total energy is -12.643 eV per cell. The raw formation energy comes out at 209 meV per atom.



# 4
Below is a geometry-optimized ReSbBr2 structure, with properties calculated at the GGA-PBE level.

Cell: 7.3149 7.3149 7.3149 Å, 155.23 140.38 47.29°
Last column: nearest neighbours and their distance in Å.
Atoms (fractional coordinates):
1 Re 0.0000 0.0000 0.0000  6 Br 2.64-2.94, 2 Sb 2.70
2 Sb 0.1642 0.6642 0.5000  2 Re 2.70
3 Br 0.5087 0.5087 0.0000  4 Re 2.94, 2 Br 3.14, 2 Sb 3.24
4 Br 0.8417 0.3417 0.5000  2 Re 2.64

Results
The calculation puts the volume at 26.06 Å³ per atom. As for the density of states at the Fermi level: 4.09 states/eV/f.u. Its total energy is -17.669 eV per cell. Its relative energy among the computed polymorphs is 323 meV/atom. The raw formation energy comes out at 562 meV per atom.